Material: AcEr2AlAu4
Method: DFT, PBE-GGA
State: optimized geometry

Geometry as POSCAR:
```
AcEr2AlAu4
1.0
4.9455 0.0000 0.0000
2.4728 4.2830 0.0000
2.4728 1.4277 9.1229
Al Au Ac Er
1 4 1 2
direct
0.5000 0.5000 0.5000
0.8796 0.8796 0.3612
0.5980 0.5980 0.2061
0.1204 0.1204 0.6388
0.4020 0.4020 0.7939
0.0000 0.0000 0.0000
0.7714 0.7714 0.6859
0.2286 0.2286 0.3141
```

Summary:
The volume comes out at 193 Å³/f.u. As for the symmetry: No. 166. For the total magnetic moment, the calculation gives 0.0 μB/f.u. The total energy is -4.51 eV per atom. The calculation puts the density of states at the Fermi level at 4.42 states/eV/cell.